A plane-wave DFT calculation with PBE-GGA was carried out for Tb2Er3ThS6 after structural relaxation.

Summary:
The calculation puts the calculated density at 8.1 Mg/m³. The value obtained for the formation energy without anion corrections is -1.943 eV/atom. For the volume, the calculation gives 21.3 Å³ per atom. The space group is C2/m, No. 12.

a = 3.9056 Å, b = 7.8657 Å, c = 8.7741 Å
α = 103.46°, β = 102.86°, γ = 90.00°
Closest atoms and distances in Å follow each position.
Positions (direct):
Tb 0.8356 0.6708 0.6712  6 S 2.76-2.81
Tb 0.1644 0.3292 0.3288  6 S 2.76-2.81
Er 0.5000 0.5000 0.0000  6 S 2.70-2.77
Er 0.8357 0.1661 0.6715  6 S 2.71-2.76
Er 0.1643 0.8339 0.3285  6 S 2.71-2.76
Th 0.5000 0.0000 0.0000  6 S 2.85-2.86
S 0.3277 0.9183 0.6554  3 Er 2.72-2.74, 2 Tb 2.78, 1 Th 2.86
S 0.6667 0.5867 0.3333  3 Er 2.76-2.77, 3 Tb 2.81
S 0.6723 0.0817 0.3446  3 Er 2.72-2.74, 2 Tb 2.78, 1 Th 2.86
S 0.9987 0.2628 0.9975  3 Er 2.70-2.71, 1 Tb 2.76, 2 Th 2.85
S 0.0013 0.7372 0.0025  3 Er 2.70-2.71, 1 Tb 2.76, 2 Th 2.85
S 0.3333 0.4133 0.6667  3 Er 2.76-2.77, 3 Tb 2.81

A plane-wave DFT calculation with PBE-GGA was carried out for LiHoErMg after structural relaxation.

Summary:
The calculation puts the calculated density at 5.8 Mg/m³. For the volume, the calculation gives 26.0 Å³ per atom. The value obtained for the formation enthalpy at 0 K is 0.0552 eV/atom. The space group is F-43m, No. 216.

a = 5.2800 Å, b = 5.2800 Å, c = 5.2800 Å
α = 60.00°, β = 60.00°, γ = 60.00°
Closest atoms and distances in Å follow each position.
Positions (direct):
Mg 0.5000 0.5000 0.5000  4 Ho 3.23, 4 Er 3.23
Li 0.0000 0.0000 0.0000  4 Ho 3.23, 4 Er 3.23
Ho 0.7500 0.7500 0.7500  4 Li 3.23, 4 Mg 3.23
Er 0.2500 0.2500 0.2500  4 Li 3.23, 4 Mg 3.23

A plane-wave DFT calculation with PBE-GGA was carried out for ReSeBr2 after structural relaxation.

Summary:
The calculation puts the calculated density at 7.8 Mg/m³. The value obtained for the formation energy without anion corrections is 0.649 eV/atom. For the volume, the calculation gives 22.6 Å³ per atom. The space group is R-3m, No. 166.

a = 10.2651 Å, b = 10.2651 Å, c = 10.2651 Å
α = 18.00°, β = 18.00°, γ = 18.00°
Closest atoms and distances in Å follow each position.
Positions (direct):
Br 0.9767 0.9767 0.9767  3 Re 2.60
Br 0.5233 0.5233 0.5233  3 Re 2.60
Re 0.2500 0.2500 0.2500  6 Br 2.60
Se 0.7500 0.7500 0.7500  6 Se 3.21